1.
Density functional theory data (PBE-GGA) for a relaxed Sc4AuC2S crystal.

It has space group P-6m2 (No. 187), with a = 3.4338 Å, b = 3.4338 Å, c = 12.6626 Å, α = 90.00°, β = 90.00° and γ = 120.00°. Symmetry generates all atoms from Sc at (0.0000, 0.0000, 0.1386), Sc at (0.3333, 0.6667, 0.3293), Au at (0.0000, 0.0000, 0.5000), C at (0.6667, 0.3333, 0.2381) and S at (0.3333, 0.6667, 0.0000).

As for the crystal system: hexagonal. The density is 5.6 g cm⁻³. The total energy comes out at -7.357 eV per atom.


2.
Density functional theory data (PBE-GGA) for a relaxed Ta4AuC2S crystal.

It has space group P-6m2 (No. 187), with a = 3.2435 Å, b = 3.2435 Å, c = 12.5859 Å, α = 90.00°, β = 90.00° and γ = 120.00°. Symmetry generates all atoms from Ta at (0.0000, 0.0000, 0.1416), Ta at (0.6667, 0.3333, 0.3234), Au at (0.0000, 0.0000, 0.5000), C at (0.3333, 0.6667, 0.2359) and S at (0.6667, 0.3333, 0.0000).

As for the crystal system: hexagonal. The density is 14.1 g cm⁻³. The total energy comes out at -9.738 eV per atom.